DFT (PBE) results for a relaxed structure of Ba5Zn2Br2.

Values from the calculation:
DOS(E_F): 1.056 states/eV per atom
DFT total energy: -2.4537 eV/atom

a = 17.339 Å, b = 9.083 Å, c = 9.218 Å
α = 90.00°, β = 90.00°, γ = 90.00°
Space group Cmce (No. 64)
One atom of each set of equivalent atoms:
Ba (0.000, 0.000, 0.000) (multiplicity 4)
Ba (0.130, 0.163, 0.341) (multiplicity 16)
Zn (0.000, 0.126, 0.626) (multiplicity 8)
Br (0.202, 0.000, 0.000) (multiplicity 8)

DFT (PBE) results for a relaxed structure of Hg2BiPb2.

Values from the calculation:
DOS(E_F): 0.606 states/eV per atom
E above lowest polymorph: 160.6 meV/atom
ΔH_f (0 K): 20 kJ/mol of atoms

a = 4.713 Å, b = 4.713 Å, c = 13.866 Å
α = 90.00°, β = 90.00°, γ = 90.00°
Space group I4/mmm (No. 139)
One atom of each set of equivalent atoms:
Hg (0.000, 0.000, 0.099) (multiplicity 4)
Bi (0.000, 0.000, 0.500) (multiplicity 2)
Pb (0.000, 0.500, 0.250) (multiplicity 4)

DFT (PBE) results for a relaxed structure of HfAs3N.

Values from the calculation:
DOS(E_F): 0.383 states/eV per atom
E above lowest polymorph: 0.0 meV/atom

a = 4.329 Å, b = 4.329 Å, c = 4.329 Å
α = 90.00°, β = 90.00°, γ = 90.00°
Space group Pm-3m (No. 221)
One atom of each set of equivalent atoms:
Hf (0.000, 0.000, 0.000) (multiplicity 1)
As (0.000, 0.500, 0.500) (multiplicity 3)
N (0.500, 0.500, 0.500) (multiplicity 1)

The highest DOS(E_F) belongs to which entry?
Ba5Zn2Br2

What did the second record say?
DFT (PBE) results for a relaxed structure of Hg2BiPb2.

Values from the calculation:
DOS(E_F): 0.606 states/eV per atom
E above lowest polymorph: 160.6 meV/atom
ΔH_f (0 K): 20 kJ/mol of atoms

a = 4.713 Å, b = 4.713 Å, c = 13.866 Å
α = 90.00°, β = 90.00°, γ = 90.00°
Space group I4/mmm (No. 139)
One atom of each set of equivalent atoms:
Hg (0.000, 0.000, 0.099) (multiplicity 4)
Bi (0.000, 0.000, 0.500) (multiplicity 2)
Pb (0.000, 0.500, 0.250) (multiplicity 4)

Which formula does entry 1 have?
Ba5Zn2Br2